1.
DFT (PBE-GGA) results for crystalline Na2TiSO at its relaxed geometry.

Structure (CIF):
```
data_Na2TiSO
_symmetry_space_group_name_H-M 'P 4/m m m'
_symmetry_Int_Tables_number 123
_symmetry_space_group_name_Hall '-P 4 2'
_cell_length_a 5.783
_cell_length_b 5.783
_cell_length_c 3.595
_cell_angle_alpha 90.00
_cell_angle_beta 90.00
_cell_angle_gamma 90.00
loop_
_atom_site_label
_atom_site_fract_x
_atom_site_fract_y
_atom_site_fract_z
_atom_site_occupancy
Na1 0.000 0.500 0.000 1
Ti1 0.000 0.000 0.500 1
S1 0.500 0.500 0.000 1
O1 0.500 0.500 0.500 1
```

- total magnetic moment (μB/cell) = 2.85
- calculated density (g/cm3) = 1.96
- electronic total energy (Ha/atom) = -0.1287
- formation energy (no corrections) (eV/atom) = 0.42


2.
DFT (PBE-GGA) results for crystalline ScP2Ir at its relaxed geometry.

Structure (CIF):
```
data_ScP2Ir
_symmetry_space_group_name_H-M 'I m m m'
_symmetry_Int_Tables_number 71
_symmetry_space_group_name_Hall '-I 2 2'
_cell_length_a 3.803
_cell_length_b 5.354
_cell_length_c 6.437
_cell_angle_alpha 90.00
_cell_angle_beta 90.00
_cell_angle_gamma 90.00
loop_
_atom_site_label
_atom_site_fract_x
_atom_site_fract_y
_atom_site_fract_z
_atom_site_occupancy
Sc1 0.000 0.000 0.000 1
P1 0.000 0.500 0.214 1
Ir1 0.000 0.000 0.500 1
```

- total magnetic moment (μB/cell) = 0.00
- formation energy from the elements (eV per atom) = -0.630
- calculated density (g/cm3) = 7.58
- energy relative to the lowest polymorph listed for this composition (meV per atom) = 242
- electronic total energy (Ha/atom) = -0.2621


3.
DFT (PBE-GGA) results for crystalline K2CoPdSe4 at its relaxed geometry.

Structure (CIF):
```
data_K2CoPdSe4
_symmetry_space_group_name_H-M 'F d d d'
_symmetry_Int_Tables_number 70
_cell_length_a 5.663
_cell_length_b 13.610
_cell_length_c 21.903
_cell_angle_alpha 90.00
_cell_angle_beta 90.00
_cell_angle_gamma 90.00
loop_
_symmetry_equiv_pos_as_xyz
'x,y,z'
'-x,-y,-z'
'-x+1/4,-y+1/4,z'
'x+1/4,y+1/4,-z'
'x,-y+1/4,-z+1/4'
'-x,y+1/4,z+1/4'
'-x+1/4,y,-z+1/4'
'x+1/4,-y,z+1/4'
'x,y+1/2,z+1/2'
'-x,-y+1/2,-z+1/2'
'-x+1/4,-y+3/4,z+1/2'
'x+1/4,y+3/4,-z+1/2'
'x,-y+3/4,-z+3/4'
'-x,y+3/4,z+3/4'
'-x+1/4,y+1/2,-z+3/4'
'x+1/4,-y+1/2,z+3/4'
'x+1/2,y,z+1/2'
'-x+1/2,-y,-z+1/2'
'-x+3/4,-y+1/4,z+1/2'
'x+3/4,y+1/4,-z+1/2'
'x+1/2,-y+1/4,-z+3/4'
'-x+1/2,y+1/4,z+3/4'
'-x+3/4,y,-z+3/4'
'x+3/4,-y,z+3/4'
'x+1/2,y+1/2,z'
'-x+1/2,-y+1/2,-z'
'-x+3/4,-y+3/4,z'
'x+3/4,y+3/4,-z'
'x+1/2,-y+3/4,-z+1/4'
'-x+1/2,y+3/4,z+1/4'
'-x+3/4,y+1/2,-z+1/4'
'x+3/4,-y+1/2,z+1/4'
loop_
_atom_site_label
_atom_site_fract_x
_atom_site_fract_y
_atom_site_fract_z
_atom_site_occupancy
K1 0.125 0.125 0.310 1
Co1 0.125 0.125 0.625 1
Pd1 0.125 0.125 0.125 1
Se1 0.095 0.276 0.812 1
```

- total magnetic moment (μB/cell) = 9.60
- calculated density (g/cm3) = 4.40
- electronic total energy (Ha/atom) = -0.1515
- formation energy (no corrections) (eV/atom) = -0.57


4.
DFT (PBE-GGA) results for crystalline YBePt2Au at its relaxed geometry.

Structure (CIF):
```
data_YBePt2Au
_symmetry_space_group_name_H-M 'P 4/m m m'
_symmetry_Int_Tables_number 123
_symmetry_space_group_name_Hall '-P 4 2'
_cell_length_a 4.422
_cell_length_b 4.422
_cell_length_c 4.479
_cell_angle_alpha 90.00
_cell_angle_beta 90.00
_cell_angle_gamma 90.00
loop_
_atom_site_label
_atom_site_fract_x
_atom_site_fract_y
_atom_site_fract_z
_atom_site_occupancy
Y1 0.000 0.000 0.000 1
Be1 0.500 0.500 0.500 1
Pt1 0.000 0.500 0.500 1
Au1 0.500 0.500 0.000 1
```

- total magnetic moment (μB/cell) = 0.00
- formation energy from the elements (eV per atom) = -0.673
- calculated density (g/cm3) = 12.99
- electronic total energy (Ha/atom) = -0.2125


5.
DFT (PBE-GGA) results for crystalline NaCuAuS at its relaxed geometry.

Structure (CIF):
```
data_NaCuAuS
_symmetry_space_group_name_H-M 'P 4/n m m'
_symmetry_Int_Tables_number 129
_cell_length_a 3.822
_cell_length_b 3.822
_cell_length_c 10.568
_cell_angle_alpha 90.00
_cell_angle_beta 90.00
_cell_angle_gamma 90.00
loop_
_symmetry_equiv_pos_as_xyz
'x,y,z'
'-x,-y,-z'
'-y+1/2,x,z'
'y+1/2,-x,-z'
'-x+1/2,-y+1/2,z'
'x+1/2,y+1/2,-z'
'y,-x+1/2,z'
'-y,x+1/2,-z'
'x+1/2,-y,-z'
'-x+1/2,y,z'
'-y,-x,-z'
'y,x,z'
'-x,y+1/2,-z'
'x,-y+1/2,z'
'y+1/2,x+1/2,-z'
'-y+1/2,-x+1/2,z'
loop_
_atom_site_label
_atom_site_fract_x
_atom_site_fract_y
_atom_site_fract_z
_atom_site_occupancy
Na1 0.250 0.250 0.249 1
Cu1 0.250 0.750 0.500 1
Au1 0.250 0.750 0.000 1
S1 0.250 0.250 0.635 1
```

- total magnetic moment (μB/cell) = 0.00
- calculated density (g/cm3) = 6.79
- electronic total energy (Ha/atom) = -0.1335
- formation energy (no corrections) (eV/atom) = -0.43


6.
DFT (PBE-GGA) results for crystalline BaLa3Ru at its relaxed geometry.

Structure (CIF):
```
data_BaLa3Ru
_symmetry_space_group_name_H-M 'P 1'
_symmetry_Int_Tables_number 1
_cell_length_a 4.040
_cell_length_b 9.531
_cell_length_c 10.099
_cell_angle_alpha 102.11
_cell_angle_beta 90.01
_cell_angle_gamma 90.11
loop_
_symmetry_equiv_pos_as_xyz
'x,y,z'
loop_
_atom_site_label
_atom_site_fract_x
_atom_site_fract_y
_atom_site_fract_z
_atom_site_occupancy
Ba1 0.000 0.000 0.000 1
Ba2 0.003 0.574 0.898 1
La1 0.000 0.170 0.392 1
La2 0.499 0.769 0.272 1
La3 0.500 0.508 0.522 1
La4 0.501 0.207 0.737 1
La5 0.503 0.382 0.169 1
La6 0.999 0.856 0.598 1
Ru1 0.500 0.024 0.507 1
Ru2 0.998 0.573 0.352 1
```

- total magnetic moment (μB/cell) = 0.00
- formation energy from the elements (eV per atom) = -0.110
- calculated density (g/cm3) = 5.72
- energy relative to the lowest polymorph listed for this composition (meV per atom) = 37
- electronic total energy (Ha/atom) = -0.1950


7.
DFT (PBE-GGA) results for crystalline Mo3Rh7 at its relaxed geometry.

Structure (CIF):
```
data_Mo3Rh7
_symmetry_space_group_name_H-M 'C 1 2/m 1'
_symmetry_Int_Tables_number 12
_cell_length_a 13.985
_cell_length_b 3.869
_cell_length_c 5.478
_cell_angle_alpha 90.00
_cell_angle_beta 101.04
_cell_angle_gamma 90.00
loop_
_symmetry_equiv_pos_as_xyz
'x,y,z'
'-x,-y,-z'
'-x,y,-z'
'x,-y,z'
'x+1/2,y+1/2,z'
'-x+1/2,-y+1/2,-z'
'-x+1/2,y+1/2,-z'
'x+1/2,-y+1/2,z'
loop_
_atom_site_label
_atom_site_fract_x
_atom_site_fract_y
_atom_site_fract_z
_atom_site_occupancy
Mo1 0.000 0.000 0.000 1
Mo2 0.202 0.000 0.607 1
Rh1 0.000 0.000 0.500 1
Rh2 0.097 0.500 0.800 1
Rh3 0.101 0.500 0.303 1
Rh4 0.200 0.000 0.106 1
```

- total magnetic moment (μB/cell) = 0.00
- formation energy from the elements (eV per atom) = -0.182
- calculated density (g/cm3) = 11.51
- electronic total energy (Ha/atom) = -0.3152


8.
DFT (PBE-GGA) results for crystalline Sr4Li3Hg2 at its relaxed geometry.

Structure (CIF):
```
data_Sr4Li3Hg2
_symmetry_space_group_name_H-M 'C 1 2/m 1'
_symmetry_Int_Tables_number 12
_cell_length_a 18.237
_cell_length_b 4.436
_cell_length_c 7.976
_cell_angle_alpha 90.00
_cell_angle_beta 108.10
_cell_angle_gamma 90.00
loop_
_symmetry_equiv_pos_as_xyz
'x,y,z'
'-x,-y,-z'
'-x,y,-z'
'x,-y,z'
'x+1/2,y+1/2,z'
'-x+1/2,-y+1/2,-z'
'-x+1/2,y+1/2,-z'
'x+1/2,-y+1/2,z'
loop_
_atom_site_label
_atom_site_fract_x
_atom_site_fract_y
_atom_site_fract_z
_atom_site_occupancy
Sr1 0.070 0.000 0.352 1
Sr2 0.235 0.500 0.211 1
Li1 0.000 0.500 0.000 1
Li2 0.097 0.500 0.735 1
Hg1 0.106 0.000 0.955 1
```

- total magnetic moment (μB/cell) = 0.00
- formation energy from the elements (eV per atom) = -0.238
- calculated density (g/cm3) = 4.18
- electronic total energy (Ha/atom) = -0.0621


9.
DFT (PBE-GGA) results for crystalline CoCuHg2 at its relaxed geometry.

Structure (CIF):
```
data_CoCuHg2
_symmetry_space_group_name_H-M 'C m m m'
_symmetry_Int_Tables_number 65
_symmetry_space_group_name_Hall '-C 2 2'
_cell_length_a 6.328
_cell_length_b 6.358
_cell_length_c 3.245
_cell_angle_alpha 90.00
_cell_angle_beta 90.00
_cell_angle_gamma 90.00
loop_
_atom_site_label
_atom_site_fract_x
_atom_site_fract_y
_atom_site_fract_z
_atom_site_occupancy
Co1 0.000 0.000 0.000 1
Cu1 0.000 0.500 0.000 1
Hg1 0.250 0.250 0.500 1
```

- total magnetic moment (μB/cell) = 2.37
- formation energy from the elements (eV per atom) = 0.353
- calculated density (g/cm3) = 13.32
- energy relative to the lowest polymorph listed for this composition (meV per atom) = 9
- electronic total energy (Ha/atom) = -0.0955


10.
DFT (PBE-GGA) results for crystalline Al3ReO at its relaxed geometry.

Structure (CIF):
```
data_Al3ReO
_symmetry_space_group_name_H-M 'P m -3 m'
_symmetry_Int_Tables_number 221
_symmetry_space_group_name_Hall '-P 4 2 3'
_cell_length_a 4.780
_cell_length_b 4.780
_cell_length_c 4.780
_cell_angle_alpha 90.00
_cell_angle_beta 90.00
_cell_angle_gamma 90.00
loop_
_atom_site_label
_atom_site_fract_x
_atom_site_fract_y
_atom_site_fract_z
_atom_site_occupancy
Al1 0.000 0.000 0.500 1
Re1 0.000 0.000 0.000 1
O1 0.500 0.500 0.500 1
```

- total magnetic moment (μB/cell) = 1.61
- calculated density (g/cm3) = 4.30
- energy relative to the lowest polymorph listed for this composition (meV per atom) = 1285
- electronic total energy (Ha/atom) = -0.1826
- formation energy (no corrections) (eV/atom) = 0.76


11.
DFT (PBE-GGA) results for crystalline CsLi4Pb3I12 at its relaxed geometry.

Structure (CIF):
```
data_CsLi4Pb3I12
_symmetry_space_group_name_H-M 'R 3 2'
_symmetry_Int_Tables_number 155
_symmetry_space_group_name_Hall 'R 3 2"'
_cell_length_a 17.0296
_cell_length_b 17.0296
_cell_length_c 11.2443
_cell_angle_alpha 90.00
_cell_angle_beta 90.00
_cell_angle_gamma 120.00
loop_
_atom_site_label
_atom_site_fract_x
_atom_site_fract_y
_atom_site_fract_z
_atom_site_occupancy
Cs1 0.0000 0.0000 0.0000 1
Li1 0.0000 0.0000 0.5000 1
Li2 0.0000 0.4299 0.5000 1
Pb1 0.0000 0.5599 0.0000 1
I1 0.0000 0.5918 0.5000 1
I2 0.0000 0.8440 0.5000 1
I3 0.0629 0.2366 0.1512 1
```

- total magnetic moment (μB/cell) = 0.00
- calculated density (g/cm3) = 4.07
- electronic total energy (Ha/atom) = -0.1012
- formation energy (no corrections) (eV/atom) = -0.84


12.
DFT (PBE-GGA) results for crystalline ZrBeRu2C at its relaxed geometry.

Structure (CIF):
```
data_ZrBeRu2C
_symmetry_space_group_name_H-M 'P 4/m m m'
_symmetry_Int_Tables_number 123
_symmetry_space_group_name_Hall '-P 4 2'
_cell_length_a 4.422
_cell_length_b 4.422
_cell_length_c 3.348
_cell_angle_alpha 90.00
_cell_angle_beta 90.00
_cell_angle_gamma 90.00
loop_
_atom_site_label
_atom_site_fract_x
_atom_site_fract_y
_atom_site_fract_z
_atom_site_occupancy
Zr1 0.000 0.000 0.000 1
Be1 0.500 0.500 0.500 1
Ru1 0.000 0.500 0.500 1
C1 0.500 0.500 0.000 1
```

- total magnetic moment (μB/cell) = 0.00
- formation energy from the elements (eV per atom) = 0.542
- calculated density (g/cm3) = 7.97
- electronic total energy (Ha/atom) = -0.2744